The following is a DFT calculation (PBE) of Th3InSn5 after structural relaxation.

Cell and atoms, written as extended XYZ:
```
18
Lattice="-4.1748 4.1748 7.6349 4.1748 -4.1748 7.6349 4.1748 4.1748 -7.6349" Properties=species:S:1:pos:R:3 pbc="T T T"
Th 5.2697 1.0949 0.0000
Th 0.0000 0.0000 3.8174
Th 1.0949 3.0800 0.0000
Th 3.0800 1.0949 7.6349
Th 0.0000 0.0000 11.4523
Th -1.0949 3.0800 7.6349
In 4.1748 0.0000 3.8174
In 0.0000 4.1748 3.8174
Sn 0.0000 0.0000 0.0000
Sn 2.6033 1.5715 -2.1608
Sn 2.6033 -1.5715 5.4741
Sn 2.6033 1.5715 2.1608
Sn 2.6033 -1.5715 9.7957
Sn 0.0000 0.0000 7.6349
Sn 1.5715 5.7464 -2.1608
Sn 1.5715 2.6033 5.4741
Sn 1.5715 5.7464 2.1608
Sn 1.5715 2.6033 9.7957
```

Results
As for the formation energy: -0.164 eV per atom. The value obtained for the spin magnetization is 0.0 Bohr magnetons per cell. As for the density: 8.763 g cm⁻³. As for the final energy: -92.97 eV for the cell shown.

---

The following is a DFT calculation (PBE) of CaErBiPd after structural relaxation.

Cell and atoms, written as extended XYZ:
```
4
Lattice="0.0000 3.6994 3.6994 3.6994 0.0000 3.6994 3.6994 3.6994 0.0000" Properties=species:S:1:pos:R:3 pbc="T T T"
Ca 0.0000 0.0000 0.0000
Er 3.6994 3.6994 3.6994
Bi 5.5492 5.5492 5.5492
Pd 1.8497 1.8497 1.8497
```

Results
As for the formation energy: -0.690 eV per atom. The value obtained for the spin magnetization is 0.0 Bohr magnetons per cell. As for the density: 8.572 g cm⁻³. As for the final energy: -18.40 eV for the cell shown.